The following is a DFT calculation (PBE-GGA) of Ac3Al3Au2 after structural relaxation.

a b c (Å): 6.1094 6.1094 16.0235
angles (deg): 90.00 90.00 133.61
Closest atoms and distances in Å follow each position.
Sites, in units of the cell vectors:
1 Ac 0.1012 0.8988 0.6096  4 Au 3.31-3.51, 7 Al 3.34-3.62
2 Ac 0.1012 0.8988 0.8904  4 Au 3.31-3.51, 7 Al 3.34-3.62
3 Ac 0.3866 0.6134 0.7500  5 Al 3.31-3.45, 4 Au 3.52
4 Ac 0.6134 0.3866 0.2500  5 Al 3.31-3.45, 4 Au 3.52
5 Ac 0.8988 0.1012 0.1096  4 Au 3.31-3.51, 7 Al 3.34-3.62
6 Ac 0.8988 0.1012 0.3904  4 Au 3.31-3.51, 7 Al 3.34-3.62
7 Al 0.3160 0.6840 0.2500  2 Au 2.77
8 Al 0.3849 0.6151 0.5349  3 Au 2.76-3.05, 1 Al 2.82
9 Al 0.3849 0.6151 0.9651  3 Au 2.76-3.05, 1 Al 2.82
10 Al 0.6151 0.3849 0.0349  3 Au 2.76-3.05, 1 Al 2.82
11 Al 0.6151 0.3849 0.4651  3 Au 2.76-3.05, 1 Al 2.82
12 Al 0.6840 0.3160 0.7500  2 Au 2.77
13 Au 0.1934 0.8066 0.0999  4 Al 2.76-3.05
14 Au 0.1934 0.8066 0.4001  4 Al 2.76-3.05
15 Au 0.8066 0.1934 0.5999  4 Al 2.76-3.05
16 Au 0.8066 0.1934 0.9001  4 Al 2.76-3.05

N(E_F)   14.5 states/eV per cell
Energy of formation from the pure elements   -4.5 eV/f.u.
Space-group type   Cmcm, No. 63
M_tot   0.00 Bohr magnetons per cell